Entry 1:
A relaxed LuTiAlRu crystal, computed with PBE-GGA.

Cell lengths 6.5678, 6.5678, 6.5678 Å; angles 90.00, 90.00, 90.00 degrees
Space group F-43m (No. 216)
One atom of each set of equivalent atoms:
Lu (0.0000, 0.0000, 0.0000) [4 per cell]
Ti (0.0000, 0.0000, 0.5000) [4 per cell]
Al (0.2500, 0.2500, 0.2500) [4 per cell]
Ru (0.2500, 0.2500, 0.7500) [4 per cell]

Output
- Density of states at the Fermi level: 6.582 states/eV/cell
- Calculated formation energy: -0.360 eV per atom

---

Entry 2:
A relaxed Mg4IrPb crystal, computed with PBE-GGA.

Cell lengths 7.8452, 7.8452, 7.8452 Å; angles 90.00, 90.00, 90.00 degrees
Space group F-43m (No. 216)
One atom of each set of equivalent atoms:
Mg (0.1239, 0.1239, 0.3761) [16 per cell]
Ir (0.2500, 0.2500, 0.7500) [4 per cell]
Pb (0.0000, 0.0000, 0.0000) [4 per cell]

Output
- Density of states at the Fermi level: 11.752 states/eV/cell
- Calculated formation energy: 0.193 eV per atom

---

Entry 3:
A relaxed CaSc3Se4 crystal, computed with PBE-GGA.

Cell lengths 7.9408, 11.1485, 3.9260 Å; angles 90.00, 90.00, 90.00 degrees
Space group Cmmm (No. 65)
One atom of each set of equivalent atoms:
Ca (0.0000, 0.0000, 0.0000) [2 per cell]
Sc (0.0000, 0.5000, 0.0000) [2 per cell]
Sc (0.2500, 0.2500, 0.5000) [4 per cell]
Se (0.0000, 0.2552, 0.0000) [4 per cell]
Se (0.2390, 0.5000, 0.5000) [4 per cell]

Output
- Density of states at the Fermi level: 8.451 states/eV/cell
- Uncorrected formation energy: -1.671 eV per atom

---

Entry 4:
A relaxed Ca2ReP crystal, computed with PBE-GGA.

Cell lengths 3.8150, 3.8150, 5.4725 Å; angles 90.00, 90.00, 90.00 degrees
Space group P4/mmm (No. 123)
One atom of each set of equivalent atoms:
Ca (0.0000, 0.0000, 0.2438) [2 per cell]
Re (0.5000, 0.5000, 0.5000) [1 per cell]
P (0.5000, 0.5000, 0.0000) [1 per cell]

Output
- Density of states at the Fermi level: 3.901 states/eV/cell
- Calculated formation energy: 0.279 eV per atom

---

Entry 5:
A relaxed CaCI2 crystal, computed with PBE-GGA.

Cell lengths 4.2041, 4.2049, 8.1686 Å; angles 99.94, 95.34, 117.90 degrees
Space group P1 (No. 1)
One atom of each set of equivalent atoms:
Ca (0.0000, 0.0000, 0.0000) [1 per cell]
C (0.6250, 0.2399, 0.8606) [1 per cell]
I (0.3344, 0.3713, 0.6963) [1 per cell]
I (0.4519, 0.7928, 0.2524) [1 per cell]

Output
- Density of states at the Fermi level: 1.447 states/eV/cell
- Uncorrected formation energy: 0.173 eV per atom

---

Entry 6:
A relaxed Ba2PaAl3Ga12 crystal, computed with PBE-GGA.

Cell lengths 9.3669, 9.3669, 19.0307 Å; angles 90.00, 90.00, 120.00 degrees
Space group R-3m (No. 166, hexagonal axes)
One atom of each set of equivalent atoms:
Ba (0.0000, 0.0000, 0.0936) [6 per cell]
Pa (0.0000, 0.0000, 0.5000) [3 per cell]
Al (0.0000, 0.5000, 0.0000) [9 per cell]
Ga (0.0135, 0.5067, 0.8632) [18 per cell]
Ga (0.1089, 0.5545, 0.3994) [18 per cell]

Output
- Density of states at the Fermi level: 27.544 states/eV/cell
- Calculated formation energy: 0.142 eV per atom

---

Entry 7:
A relaxed BaLiFe crystal, computed with PBE-GGA.

Cell lengths 3.6777, 3.6777, 11.5437 Å; angles 90.00, 90.00, 90.00 degrees
Space group I4mm (No. 107)
One atom of each set of equivalent atoms:
Ba (0.0000, 0.0000, 0.0000) [2 per cell]
Li (0.0000, 0.0000, 0.2786) [2 per cell]
Fe (0.0000, 0.0000, 0.6990) [2 per cell]

Output
- Density of states at the Fermi level: 8.586 states/eV/cell
- Calculated formation energy: 0.626 eV per atom

---

Entry 8:
A relaxed La4Th crystal, computed with PBE-GGA.

Cell lengths 6.0726, 6.0726, 6.0726 Å; angles 90.00, 90.00, 90.00 degrees
Space group Pm-3m (No. 221)
One atom of each set of equivalent atoms:
La (0.0000, 0.0000, 0.0000) [1 per cell]
La (0.0000, 0.5000, 0.5000) [3 per cell]
Th (0.5000, 0.5000, 0.5000) [1 per cell]

Output
- Density of states at the Fermi level: 10.159 states/eV/cell
- Calculated formation energy: 0.613 eV per atom

---

| no. | total moment (μB/cell) | final energy (eV for the cell shown) | mass density (g/cm³) |
| --- | --- | --- | --- |
| 1 | 0.0 | -107.50 | 8.23 |
| 2 | 0.0 | -71.16 | 6.83 |
| 3 | 0.0 | -96.60 | 4.69 |
| 4 | 0.0 | -20.74 | 6.20 |
| 5 | 0.0 | -13.64 | 4.12 |
| 6 | 2.1 | -175.01 | 4.90 |
| 7 | 5.0 | -20.84 | 4.26 |
| 8 | 0.0 | -24.06 | 5.84 |